The following is a DFT calculation (PBE-GGA) of a relaxed structure of La4Ni2I5.

The structure in POSCAR format:
```
La4Ni2I5
1.0
4.221 0.000 -0.960
-0.835 8.254 -3.672
0.317 0.008 11.155
I Ni La
5 2 4
direct
0.167 0.389 0.333 I
0.167 0.944 0.333 I
0.833 0.056 0.667 I
0.500 0.000 0.000 I
0.833 0.611 0.667 I
0.556 0.556 0.112 Ni
0.444 0.444 0.888 Ni
0.324 0.324 0.648 La
0.676 0.676 0.352 La
0.000 0.294 0.000 La
0.000 0.706 0.000 La
```

* formation energy without anion corrections: -0.99 eV per atom
* SG: Immm (71)
* E: -49.90 eV per cell
* total moment: 0.00 μB per formula unit